{
  "formula": "TePtSe2Br",
  "functional": "PBE",
  "state": "relaxed",
  "lattice": [[-3.616, -2.762, 2.092], [-0.690, -2.389, -4.347], [3.421, -3.453, 1.355]],
  "species": ["Te", "Se", "Se", "Br", "Pt"],
  "frac_coords": [[0.500, 0.500, 0.500], [0.000, 0.500, 0.000], [0.500, 0.000, 0.000], [0.000, 0.000, 0.500], [0.000, 0.000, 0.000]],
  "polymorph_energy_ev_per_atom": 0.000,
  "e_form_raw_ev_per_fu": 1.632,
  "spacegroup": "P4/mmm, No. 123",
  "dft_energy_ev_per_atom": -3.239,
  "crystal_system": "tetragonal"
}

---

{
  "formula": "NaIr2W2",
  "functional": "PBE",
  "state": "relaxed",
  "lattice": [[-6.264, 3.017, -3.787], [1.986, -4.047, -6.509], [-1.531, -2.115, 0.848]],
  "species": ["Na", "Na", "Ir", "Ir", "Ir", "Ir", "W", "W", "W", "W"],
  "frac_coords": [[0.000, 0.000, 0.000], [0.500, 0.500, 0.000], [0.169, 0.669, 0.500], [0.669, 0.831, 0.500], [0.831, 0.331, 0.500], [0.331, 0.169, 0.500], [0.381, 0.881, 0.000], [0.881, 0.619, 0.000], [0.619, 0.119, 0.000], [0.119, 0.381, 0.000]],
  "polymorph_energy_ev_per_atom": 0.000,
  "spacegroup": "P4/mbm, No. 127",
  "dft_energy_ev_per_atom": -8.929,
  "formation_enthalpy_0k_ev_per_fu": 0.3,
  "crystal_system": "tetragonal"
}

---

{
  "formula": "Tm3BiB2Rh9",
  "functional": "PBE",
  "state": "relaxed",
  "lattice": [[-1.587, 0.846, -5.545], [-1.020, -5.130, 2.574], [-8.125, 3.014, 2.786]],
  "species": ["Tm", "Tm", "Tm", "Bi", "B", "B", "Rh", "Rh", "Rh", "Rh", "Rh", "Rh", "Rh", "Rh", "Rh"],
  "frac_coords": [[0.333, 0.667, 0.729], [0.000, 0.000, 0.000], [0.667, 0.333, 0.271], [0.000, 0.000, 0.500], [0.333, 0.667, 0.144], [0.667, 0.333, 0.856], [0.840, 0.160, 0.741], [0.840, 0.679, 0.741], [0.321, 0.160, 0.741], [0.679, 0.840, 0.259], [0.160, 0.321, 0.259], [0.160, 0.840, 0.259], [0.500, 0.000, 0.000], [0.000, 0.500, 0.000], [0.500, 0.500, 0.000]],
  "spacegroup": "P-3m1, No. 164",
  "dft_energy_ev_per_atom": -7.038,
  "formation_enthalpy_0k_ev_per_fu": -8.8,
  "crystal_system": "trigonal"
}